Li2Ni2IrO6: optimized geometry, PBE+U.

The value obtained for the density of states at the Fermi level is 4.5 states/eV per cell. As for the crystal system: monoclinic. The calculation puts the total energy at -5.490 eV per atom.

Cell and atoms, written as POSCAR:
```
Li2Ni2IrO6
1.0
5.1573 0.0542 0.0525
-2.5019 4.5102 0.0525
-0.9769 -1.6792 4.7926
O Ir Li Ni
6 1 2 2
Direct
0.2327 0.2327 0.2778
0.3952 0.0672 0.7201
0.6048 0.9328 0.2799
0.7673 0.7673 0.7222
0.0672 0.3952 0.7201
0.9328 0.6048 0.2799
0.0000 0.0000 0.5000
0.1752 0.8248 0.0000
0.8248 0.1752 0.0000
0.6624 0.3376 0.5000
0.3376 0.6624 0.5000
```